Entry a
This record from the Alexandria database describes Pa2TlC after structural relaxation. The functional is PBE.

Cell: 3.3804 3.3804 8.9361 Å, 79.10 79.10 60.00°
Closest atoms and distances in Å follow each position.
Element x y z (fractional)
C 0.6656 0.6656 0.0032  6 Pa 2.43-2.47
Pa 0.2769 0.2769 0.1694  3 C 2.43
Pa 0.0570 0.0570 0.8290  3 C 2.47
Tl 0.5005 0.5005 0.4984  6 Tl 3.38, 6 Pa 3.47-3.48

=====

Entry b
This record from the Alexandria database describes Pa2TlC after structural relaxation. The functional is PBE.

Cell: 3.1388 3.1388 8.0441 Å, 90.00 90.00 90.00°
Closest atoms and distances in Å follow each position.
Element x y z (fractional)
Pa 0.0000 0.0000 0.8239  4 C 2.63, 1 Pa 2.83
Pa 0.0000 0.0000 0.1761  4 C 2.63, 1 Pa 2.83
Tl 0.5000 0.5000 0.5000  4 Tl 3.14, 8 Pa 3.42
C 0.5000 0.5000 0.0000  8 Pa 2.63

=====

It is entry a that is the most stable of them.

=====

Entry a
This record from the Alexandria database describes TmPaC2 after structural relaxation. The functional is PBE.

Cell: 3.6115 3.6112 6.1285 Å, 90.00 107.14 120.00°
Closest atoms and distances in Å follow each position.
Element x y z (fractional)
C 0.4876 0.7438 0.2315  3 Pa 2.47-2.48, 3 Tm 2.60
C 0.5123 0.2562 0.7685  3 Pa 2.47-2.48, 3 Tm 2.60
Pa 0.0000 0.0000 0.0000  6 C 2.47-2.48
Tm 0.0001 0.4999 0.5000  6 C 2.60

=====

Entry b
This record from the Alexandria database describes TmPaC2 after structural relaxation. The functional is PBE.

Cell: 3.5685 3.5685 6.2389 Å, 73.38 73.38 60.00°
Closest atoms and distances in Å follow each position.
Element x y z (fractional)
C 0.0771 0.0771 0.7687  3 Pa 2.46, 3 Tm 2.57
C 0.2580 0.2580 0.2261  3 Pa 2.46, 3 Tm 2.64
Pa 0.6672 0.6672 0.9984  6 C 2.46
Tm 0.4977 0.4977 0.5068  6 C 2.57-2.64

=====

It is entry a that is the most stable of them.